# LiRe (GGA-PBE, optimized geometry)
# * M_tot: 0.0 μB/cell
# * formation energy from the elements: 0.70 eV/atom
# * density of states at the Fermi level: 0.77 states/eV/atom
# * E above lowest polymorph: 53.4 kJ/mol of atoms
data_LiRe
_space_group_name_H-M_alt 'F d d d'
_space_group_IT_number 70
_cell_length_a 4.312
_cell_length_b 7.674
_cell_length_c 14.656
_cell_angle_alpha 90.00
_cell_angle_beta 90.00
_cell_angle_gamma 90.00
loop_
_space_group_symop_operation_xyz
'x,y,z'
'-x,-y,-z'
'-x+1/4,-y+1/4,z'
'x+1/4,y+1/4,-z'
'x,-y+1/4,-z+1/4'
'-x,y+1/4,z+1/4'
'-x+1/4,y,-z+1/4'
'x+1/4,-y,z+1/4'
'x,y+1/2,z+1/2'
'-x,-y+1/2,-z+1/2'
'-x+1/4,-y+3/4,z+1/2'
'x+1/4,y+3/4,-z+1/2'
'x,-y+3/4,-z+3/4'
'-x,y+3/4,z+3/4'
'-x+1/4,y+1/2,-z+3/4'
'x+1/4,-y+1/2,z+3/4'
'x+1/2,y,z+1/2'
'-x+1/2,-y,-z+1/2'
'-x+3/4,-y+1/4,z+1/2'
'x+3/4,y+1/4,-z+1/2'
'x+1/2,-y+1/4,-z+3/4'
'-x+1/2,y+1/4,z+3/4'
'-x+3/4,y,-z+3/4'
'x+3/4,-y,z+3/4'
'x+1/2,y+1/2,z'
'-x+1/2,-y+1/2,-z'
'-x+3/4,-y+3/4,z'
'x+3/4,y+3/4,-z'
'x+1/2,-y+3/4,-z+1/4'
'-x+1/2,y+3/4,z+1/4'
'-x+3/4,y+1/2,-z+1/4'
'x+3/4,-y+1/2,z+1/4'
loop_
_atom_site_label
_atom_site_fract_x
_atom_site_fract_y
_atom_site_fract_z
Li1 0.125 0.288 0.125
Re1 0.125 0.125 0.541